Material: RbBeGa
Method: DFT, PBE
State: relaxed

Cell: 4.431 6.634 6.794 Å, 107.78 99.90 91.07°
Space group P-1 (No. 2)
Asymmetric unit:
Rb: 0.081 0.322 0.184
Be: 0.096 0.889 0.384
Ga: 0.422 0.146 0.665

Calculated values
Calculated volume in Å³ per cell: 187
Crystal system: triclinic
Relative energy among the computed polymorphs in eV/atom: 0.000